Density functional theory data (PBE-GGA) for a relaxed Er3Hg2Ir crystal.

Cell lengths 5.4277, 7.6021, 8.0910 Å; angles 96.17, 109.60, 90.00 degrees
Closest atoms and distances in Å follow each position.
Positions (direct):
Er 0.4998 0.2500 0.0000  2 Ir 2.71
Er 0.5002 0.7500 0.0000  2 Ir 2.71
Er 0.1309 0.0266 0.2618  2 Ir 2.73-2.76
Er 0.8691 0.4734 0.7382  2 Ir 2.73-2.76
Er 0.1309 0.5266 0.2618  2 Ir 2.73-2.76
Er 0.8691 0.9734 0.7382  2 Ir 2.73-2.76
Hg 0.6980 0.6868 0.3960  5 Er 3.10-3.23, 2 Hg 3.23
Hg 0.6979 0.1868 0.3960  5 Er 3.10-3.23, 2 Hg 3.23
Hg 0.3021 0.8132 0.6040  5 Er 3.10-3.23, 2 Hg 3.23
Hg 0.3020 0.3132 0.6040  5 Er 3.10-3.23, 2 Hg 3.23
Ir 0.0002 0.7500 0.0000  6 Er 2.71-2.76
Ir 0.9998 0.2500 0.0000  6 Er 2.71-2.76

Properties
Magnetization   0.00 μB/cell
Space group   C2/m, No. 12
Offset from the most stable computed form   0.58 eV/f.u.
Calculated total energy   -52.8 eV for the cell shown
Calculated formation energy   -3.3 eV/f.u.